Run a
# Li2ThPt3 PBE optimized geometry
data_Li2ThPt3
_chemical_formula_sum 'Li4 Th2 Pt6'
_space_group_name_H-M_alt 'P m m n'
_space_group_IT_number 59
_cell_length_a 4.2963
_cell_length_b 12.1151
_cell_length_c 3.9912
_cell_angle_alpha 90.00
_cell_angle_beta 90.00
_cell_angle_gamma 90.00
loop_
_space_group_symop_operation_xyz
'x,y,z'
'-x,-y,-z'
'-x+1/2,-y+1/2,z'
'x+1/2,y+1/2,-z'
'x+1/2,-y,-z'
'-x+1/2,y,z'
'-x,y+1/2,-z'
'x,-y+1/2,z'
loop_
_atom_site_label
_atom_site_fract_x
_atom_site_fract_y
_atom_site_fract_z
_atom_site_occupancy
Li1 0.2500 0.0657 0.0005 1
Th1 0.2500 0.7500 0.0010 1
Pt1 0.2500 0.2500 0.4988 1
Pt2 0.2500 0.5745 0.5006 1
# N(E_F)	2.23	states/eV/cell
# total moment	0.000	μB/f.u.

***

Run b
# Li2ThPt3 PBE optimized geometry
data_Li2ThPt3
_chemical_formula_sum 'Li4 Th2 Pt6'
_space_group_name_H-M_alt 'P 63/m m c'
_space_group_IT_number 194
_space_group_name_Hall '-P 6c 2c'
_cell_length_a 4.4218
_cell_length_b 4.4218
_cell_length_c 12.4079
_cell_angle_alpha 90.00
_cell_angle_beta 90.00
_cell_angle_gamma 120.00
loop_
_atom_site_label
_atom_site_fract_x
_atom_site_fract_y
_atom_site_fract_z
_atom_site_occupancy
Li1 0.3333 0.6667 0.0720 1
Th1 0.0000 0.0000 0.2500 1
Pt1 0.0000 0.0000 0.0000 1
Pt2 0.3333 0.6667 0.6312 1
# N(E_F)	5.47	states/eV/cell
# total moment	0.000	μB/f.u.

***

Which structure wins on stability? run a wins.

***

Run a
# Li2ThPt2 PBE optimized geometry
data_Li2ThPt2
_chemical_formula_sum 'Li4 Th2 Pt4'
_space_group_name_H-M_alt 'C 1 2/m 1'
_space_group_IT_number 12
_cell_length_a 7.1619
_cell_length_b 4.1237
_cell_length_c 6.7543
_cell_angle_alpha 90.00
_cell_angle_beta 110.93
_cell_angle_gamma 90.00
loop_
_space_group_symop_operation_xyz
'x,y,z'
'-x,-y,-z'
'-x,y,-z'
'x,-y,z'
'x+1/2,y+1/2,z'
'-x+1/2,-y+1/2,-z'
'-x+1/2,y+1/2,-z'
'x+1/2,-y+1/2,z'
loop_
_atom_site_label
_atom_site_fract_x
_atom_site_fract_y
_atom_site_fract_z
_atom_site_occupancy
Li1 0.1868 0.0000 0.0616 1
Th1 0.0000 0.0000 0.5000 1
Pt1 0.0731 0.5000 0.2212 1
# N(E_F)	3.46	states/eV/cell
# total moment	0.000	μB/f.u.

***

Run b
# Li2ThPt2 PBE optimized geometry
data_Li2ThPt2
_chemical_formula_sum 'Li4 Th2 Pt4'
_space_group_name_H-M_alt 'I 4/m m m'
_space_group_IT_number 139
_space_group_name_Hall '-I 4 2'
_cell_length_a 3.7870
_cell_length_b 3.7870
_cell_length_c 13.3905
_cell_angle_alpha 90.00
_cell_angle_beta 90.00
_cell_angle_gamma 90.00
loop_
_atom_site_label
_atom_site_fract_x
_atom_site_fract_y
_atom_site_fract_z
_atom_site_occupancy
Li1 0.0000 0.5000 0.2500 1
Th1 0.0000 0.0000 0.0000 1
Pt1 0.0000 0.0000 0.3943 1
# N(E_F)	6.00	states/eV/cell
# total moment	0.000	μB/f.u.

***

Which structure wins on stability? run a wins.

***

Run a
# Li2TiPt2 PBE optimized geometry
data_Li2TiPt2
_chemical_formula_sum 'Li4 Ti2 Pt4'
_space_group_name_H-M_alt 'C m m m'
_space_group_IT_number 65
_space_group_name_Hall '-C 2 2'
_cell_length_a 3.2612
_cell_length_b 16.4785
_cell_length_c 2.9008
_cell_angle_alpha 90.00
_cell_angle_beta 90.00
_cell_angle_gamma 90.00
loop_
_atom_site_label
_atom_site_fract_x
_atom_site_fract_y
_atom_site_fract_z
_atom_site_occupancy
Li1 0.0000 0.1874 0.0000 1
Ti1 0.0000 0.0000 0.0000 1
Pt1 0.0000 0.4051 0.5000 1
# N(E_F)	5.28	states/eV/cell
# total moment	0.000	μB/f.u.

***

Run b
# Li2TiPt2 PBE optimized geometry
data_Li2TiPt2
_chemical_formula_sum 'Li4 Ti2 Pt4'
_space_group_name_H-M_alt 'P 4/m b m'
_space_group_IT_number 127
_space_group_name_Hall '-P 4 2ab'
_cell_length_a 6.9898
_cell_length_b 6.9898
_cell_length_c 2.8069
_cell_angle_alpha 90.00
_cell_angle_beta 90.00
_cell_angle_gamma 90.00
loop_
_atom_site_label
_atom_site_fract_x
_atom_site_fract_y
_atom_site_fract_z
_atom_site_occupancy
Li1 0.1068 0.3932 0.0000 1
Ti1 0.0000 0.0000 0.0000 1
Pt1 0.1932 0.6932 0.5000 1
# N(E_F)	8.73	states/eV/cell
# total moment	0.160	μB/f.u.

***

Which structure wins on stability? run a wins.

***

Run a
# LiTi3Pt PBE optimized geometry
data_LiTi3Pt
_chemical_formula_sum 'Li1 Ti3 Pt1'
_space_group_name_H-M_alt 'P m -3 m'
_space_group_IT_number 221
_space_group_name_Hall '-P 4 2 3'
_cell_length_a 4.2865
_cell_length_b 4.2865
_cell_length_c 4.2865
_cell_angle_alpha 90.00
_cell_angle_beta 90.00
_cell_angle_gamma 90.00
loop_
_atom_site_label
_atom_site_fract_x
_atom_site_fract_y
_atom_site_fract_z
_atom_site_occupancy
Li1 0.0000 0.0000 0.0000 1
Ti1 0.0000 0.0000 0.5000 1
Pt1 0.5000 0.5000 0.5000 1
# N(E_F)	10.81	states/eV/cell
# total moment	0.000	μB/f.u.

***

Run b
# LiTi3Pt PBE optimized geometry
data_LiTi3Pt
_chemical_formula_sum 'Li1 Ti3 Pt1'
_space_group_name_H-M_alt 'P m -3 m'
_space_group_IT_number 221
_space_group_name_Hall '-P 4 2 3'
_cell_length_a 4.8819
_cell_length_b 4.8819
_cell_length_c 4.8819
_cell_angle_alpha 90.00
_cell_angle_beta 90.00
_cell_angle_gamma 90.00
loop_
_atom_site_label
_atom_site_fract_x
_atom_site_fract_y
_atom_site_fract_z
_atom_site_occupancy
Li1 0.0000 0.0000 0.0000 1
Ti1 0.0000 0.5000 0.5000 1
Pt1 0.5000 0.5000 0.5000 1
# N(E_F)	6.58	states/eV/cell
# total moment	2.429	μB/f.u.

***

Which structure wins on stability? run b wins.

***

Run a
# LiTiPt3 PBE optimized geometry
data_LiTiPt3
_chemical_formula_sum 'Li1 Ti1 Pt3'
_space_group_name_H-M_alt 'P m -3 m'
_space_group_IT_number 221
_space_group_name_Hall '-P 4 2 3'
_cell_length_a 4.7227
_cell_length_b 4.7227
_cell_length_c 4.7227
_cell_angle_alpha 90.00
_cell_angle_beta 90.00
_cell_angle_gamma 90.00
loop_
_atom_site_label
_atom_site_fract_x
_atom_site_fract_y
_atom_site_fract_z
_atom_site_occupancy
Li1 0.0000 0.0000 0.0000 1
Ti1 0.5000 0.5000 0.5000 1
Pt1 0.0000 0.5000 0.5000 1
# N(E_F)	2.91	states/eV/cell
# total moment	0.000	μB/f.u.

***

Run b
# LiTiPt3 PBE optimized geometry
data_LiTiPt3
_chemical_formula_sum 'Li2 Ti2 Pt6'
_space_group_name_H-M_alt 'P -1'
_space_group_IT_number 2
_cell_length_a 5.0978
_cell_length_b 5.3717
_cell_length_c 6.9134
_cell_angle_alpha 112.84
_cell_angle_beta 98.96
_cell_angle_gamma 90.14
loop_
_space_group_symop_operation_xyz
'x,y,z'
'-x,-y,-z'
loop_
_atom_site_label
_atom_site_fract_x
_atom_site_fract_y
_atom_site_fract_z
_atom_site_occupancy
Li1 0.2205 0.4519 0.4051 1
Ti1 0.1610 0.8127 0.1257 1
Pt1 0.0000 0.0000 0.5000 1
Pt2 0.2913 0.4115 0.8290 1
Pt3 0.2911 0.9179 0.8288 1
Pt4 0.5000 0.0000 0.5000 1
# N(E_F)	7.13	states/eV/cell
# total moment	0.000	μB/f.u.

***

Run c
# LiTiPt3 PBE optimized geometry
data_LiTiPt3
_chemical_formula_sum 'Li1 Ti1 Pt3'
_space_group_name_H-M_alt 'P m -3 m'
_space_group_IT_number 221
_space_group_name_Hall '-P 4 2 3'
_cell_length_a 4.2217
_cell_length_b 4.2217
_cell_length_c 4.2217
_cell_angle_alpha 90.00
_cell_angle_beta 90.00
_cell_angle_gamma 90.00
loop_
_atom_site_label
_atom_site_fract_x
_atom_site_fract_y
_atom_site_fract_z
_atom_site_occupancy
Li1 0.0000 0.0000 0.0000 1
Ti1 0.5000 0.5000 0.5000 1
Pt1 0.0000 0.0000 0.5000 1
# N(E_F)	18.04	states/eV/cell
# total moment	0.000	μB/f.u.

***

Which structure wins on stability? run b wins.

***

Run a
# LiTiPt4 PBE optimized geometry
data_LiTiPt4
_chemical_formula_sum 'Li2 Ti2 Pt8'
_space_group_name_H-M_alt 'C 1 2/m 1'
_space_group_IT_number 12
_cell_length_a 9.4094
_cell_length_b 2.7677
_cell_length_c 7.7330
_cell_angle_alpha 90.00
_cell_angle_beta 114.64
_cell_angle_gamma 90.00
loop_
_space_group_symop_operation_xyz
'x,y,z'
'-x,-y,-z'
'-x,y,-z'
'x,-y,z'
'x+1/2,y+1/2,z'
'-x+1/2,-y+1/2,-z'
'-x+1/2,y+1/2,-z'
'x+1/2,-y+1/2,z'
loop_
_atom_site_label
_atom_site_fract_x
_atom_site_fract_y
_atom_site_fract_z
_atom_site_occupancy
Li1 0.0000 0.0000 0.0000 1
Ti1 0.0000 0.0000 0.5000 1
Pt1 0.1582 0.5000 0.3351 1
Pt2 0.1666 0.5000 0.8291 1
# N(E_F)	11.69	states/eV/cell
# total moment	0.000	μB/f.u.

***

Run b
# LiTiPt4 PBE optimized geometry
data_LiTiPt4
_chemical_formula_sum 'Li2 Ti2 Pt8'
_space_group_name_H-M_alt 'C 1 2/m 1'
_space_group_IT_number 12
_cell_length_a 8.7766
_cell_length_b 2.8202
_cell_length_c 8.5440
_cell_angle_alpha 90.00
_cell_angle_beta 116.44
_cell_angle_gamma 90.00
loop_
_space_group_symop_operation_xyz
'x,y,z'
'-x,-y,-z'
'-x,y,-z'
'x,-y,z'
'x+1/2,y+1/2,z'
'-x+1/2,-y+1/2,-z'
'-x+1/2,y+1/2,-z'
'x+1/2,-y+1/2,z'
loop_
_atom_site_label
_atom_site_fract_x
_atom_site_fract_y
_atom_site_fract_z
_atom_site_occupancy
Li1 0.0000 0.0000 0.0000 1
Ti1 0.0000 0.5000 0.5000 1
Pt1 0.1484 0.0000 0.3478 1
Pt2 0.1528 0.5000 0.8483 1
# N(E_F)	8.22	states/eV/cell
# total moment	0.000	μB/f.u.

***

Which structure wins on stability? run a wins.